FeAuCl2 | PBE | relaxed

As for the electronic total energy: -3.8825 eV per atom. The energy relative to the elements, uncorrected comes out at -2.3 kJ/mol of atoms. Its offset from the most stable computed form is 200.0 meV/atom. The total moment is 0.00 μB per formula unit.

The space group is R-3m (No. 166, hexagonal axes) and the conventional cell measures 3.1956, 3.1956 and 30.0763 Å, with angles of 90.00, 90.00 and 120.00 degrees. The inequivalent atoms are Fe at (0.0000, 0.0000, 0.0000), Au at (0.0000, 0.0000, 0.5000) and Cl at (0.0000, 0.0000, 0.3766).